Material: Ba2InCuPb6
Method: DFT, GGA-PBE
State: optimized geometry

a = 14.1908 Å, b = 14.1908 Å, c = 14.1908 Å
α = 31.49°, β = 31.49°, γ = 31.49°
Positions (direct):
Ba 0.1081 0.1081 0.1081
Ba 0.2821 0.2821 0.2821
Ba 0.7179 0.7179 0.7179
Ba 0.8919 0.8919 0.8919
In 0.4260 0.4260 0.4260
In 0.5740 0.5740 0.5740
Cu 0.0000 0.0000 0.0000
Cu 0.5000 0.5000 0.5000
Pb 0.0880 0.6629 0.6629
Pb 0.2143 0.2143 0.6634
Pb 0.2143 0.6634 0.2143
Pb 0.3371 0.3371 0.9120
Pb 0.3366 0.7857 0.7857
Pb 0.3371 0.9120 0.3371
Pb 0.6629 0.0880 0.6629
Pb 0.6634 0.2143 0.2143
Pb 0.6629 0.6629 0.0880
Pb 0.7857 0.3366 0.7857
Pb 0.7857 0.7857 0.3366
Pb 0.9120 0.3371 0.3371

Properties
E_tot: -3.451 eV per atom
Formation enthalpy at 0 K: -0.158 eV per atom
V: 34.6 A^3/atom

***

Material: Zn6Cu5Ni
Method: DFT, GGA-PBE
State: optimized geometry

a = 6.0515 Å, b = 6.0515 Å, c = 7.0409 Å
α = 90.23°, β = 90.23°, γ = 143.13°
Positions (direct):
Zn 0.0011 0.0011 0.2456
Zn 0.3351 0.6638 0.7533
Zn 0.3362 0.6649 0.2467
Zn 0.6638 0.3351 0.7533
Zn 0.6649 0.3362 0.2467
Zn 0.9989 0.9989 0.7544
Cu 0.1669 0.8330 0.0000
Cu 0.1685 0.8315 0.5000
Cu 0.5000 0.5000 0.5000
Cu 0.8315 0.1685 0.5000
Cu 0.8330 0.1669 0.0000
Ni 0.5000 0.5000 0.0000

Properties
E_tot: -2.935 eV per atom
Formation enthalpy at 0 K: -0.109 eV per atom
V: 12.9 A^3/atom

***

Material: SmMg2Rh3
Method: DFT, GGA-PBE
State: optimized geometry

a = 4.5900 Å, b = 4.5900 Å, c = 11.3713 Å
α = 90.00°, β = 90.00°, γ = 120.00°
Positions (direct):
Sm 0.3333 0.6667 0.1739
Sm 0.6667 0.3333 0.8261
Mg 0.0000 0.0000 0.0000
Mg 0.0000 0.0000 0.5000
Mg 0.3333 0.6667 0.6539
Mg 0.6667 0.3333 0.3461
Rh 0.0000 0.0000 0.2612
Rh 0.0000 0.0000 0.7388
Rh 0.3333 0.6667 0.4218
Rh 0.3333 0.6667 0.9167
Rh 0.6667 0.3333 0.0833
Rh 0.6667 0.3333 0.5782

Properties
E_tot: -5.568 eV per atom
Formation enthalpy at 0 K: -0.574 eV per atom
V: 17.3 A^3/atom

***

Material: PrY2Ho8
Method: DFT, GGA-PBE
State: optimized geometry

a = 9.7341 Å, b = 9.7341 Å, c = 9.7341 Å
α = 144.48°, β = 137.02°, γ = 56.94°
Positions (direct):
Pr 0.0000 0.0000 0.0000
Y 0.3115 0.8115 0.5000
Y 0.6885 0.1885 0.5000
Ho 0.0987 0.3692 0.7295
Ho 0.2010 0.2010 0.0000
Ho 0.3603 0.6308 0.7295
Ho 0.5000 0.2413 0.7413
Ho 0.5000 0.7587 0.2587
Ho 0.6397 0.3692 0.2705
Ho 0.7990 0.7990 0.0000
Ho 0.9013 0.6308 0.2705

Properties
E_tot: -4.786 eV per atom
Formation enthalpy at 0 K: 0.153 eV per atom
V: 32.9 A^3/atom

***

Material: KMgBeAu2
Method: DFT, GGA-PBE
State: optimized geometry

a = 5.0998 Å, b = 5.0998 Å, c = 6.1393 Å
α = 90.00°, β = 90.00°, γ = 90.00°
Positions (direct):
K 0.0000 0.0000 0.0000
Mg 0.0000 0.0000 0.5000
Be 0.5000 0.5000 0.0000
Au 0.0000 0.5000 0.5000
Au 0.5000 0.0000 0.5000

Properties
E_tot: -1.862 eV per atom
Formation enthalpy at 0 K: 0.733 eV per atom
V: 31.9 A^3/atom

***

Material: Pr3DyTc
Method: DFT, GGA-PBE
State: optimized geometry

a = 5.5461 Å, b = 5.5461 Å, c = 5.5461 Å
α = 90.00°, β = 90.00°, γ = 90.00°
Positions (direct):
Pr 0.0000 0.0000 0.5000
Pr 0.0000 0.5000 0.0000
Pr 0.5000 0.0000 0.0000
Dy 0.5000 0.5000 0.5000
Tc 0.0000 0.0000 0.0000

Properties
E_tot: -5.624 eV per atom
Formation enthalpy at 0 K: 0.237 eV per atom
V: 34.1 A^3/atom

***

Material: Zn3PdF
Method: DFT, GGA-PBE
State: optimized geometry

a = 4.2265 Å, b = 4.2265 Å, c = 4.2265 Å
α = 90.00°, β = 90.00°, γ = 90.00°
Positions (direct):
Zn 0.0000 0.0000 0.5000
Zn 0.0000 0.5000 0.0000
Zn 0.5000 0.0000 0.0000
Pd 0.5000 0.5000 0.5000
F 0.0000 0.0000 0.0000

Properties
E_tot: -2.496 eV per atom
V: 15.1 A^3/atom
Energy relative to the elements, uncorrected: -154 kJ/mol of formula units

***

Material: Ni2Pd2Pt5
Method: DFT, GGA-PBE
State: optimized geometry

a = 6.2007 Å, b = 6.2007 Å, c = 6.1016 Å
α = 107.85°, β = 107.85°, γ = 36.61°
Positions (direct):
Ni 0.1674 0.1674 0.0001
Ni 0.8326 0.8326 0.9999
Pd 0.2777 0.2777 0.6779
Pd 0.7223 0.7223 0.3221
Pt 0.0544 0.0544 0.3280
Pt 0.3840 0.3840 0.3185
Pt 0.5000 0.5000 0.0000
Pt 0.6160 0.6160 0.6815
Pt 0.9456 0.9456 0.6720

Properties
E_tot: -5.837 eV per atom
Formation enthalpy at 0 K: -0.043 eV per atom
V: 14.7 A^3/atom